No. 1
# K3SbS4 PBE-GGA relaxed
data_K3SbS4
_chemical_formula_sum 'K6 Sb2 S8'
_cell_length_a 7.932
_cell_length_b 7.932
_cell_length_c 7.823
_cell_angle_alpha 90.00
_cell_angle_beta 90.00
_cell_angle_gamma 93.47
_symmetry_space_group_name_H-M 'P 1'
_symmetry_Int_Tables_number 1
loop_
_symmetry_equiv_pos_as_xyz
'x,y,z'
loop_
_atom_site_label
_atom_site_type_symbol
_atom_site_fract_x
_atom_site_fract_y
_atom_site_fract_z
K1 K 0.817 0.744 0.487
S1 S 0.907 0.093 0.273
Sb1 Sb 0.757 0.243 0.482
S2 S 0.426 0.574 0.844
S3 S 0.952 0.403 0.655
S4 S 0.597 0.048 0.655
K2 K 0.305 0.695 0.481
Sb2 Sb 0.243 0.757 0.982
S5 S 0.093 0.907 0.773
S6 S 0.574 0.426 0.344
K3 K 0.183 0.256 0.987
S7 S 0.403 0.952 0.155
K4 K 0.744 0.817 0.987
S8 S 0.048 0.597 0.155
K5 K 0.695 0.305 0.981
K6 K 0.256 0.183 0.487
# Polymorph energy (0 for the lowest one): 0.000 eV/atom
# Formation energy (no corrections): -894 meV/atom

No. 2
# Ac3SiP PBE-GGA relaxed
data_Ac3SiP
_chemical_formula_sum 'Ac3 Si1 P1'
_cell_length_a 5.747
_cell_length_b 5.747
_cell_length_c 5.747
_cell_angle_alpha 90.00
_cell_angle_beta 90.00
_cell_angle_gamma 90.00
_symmetry_space_group_name_H-M 'P 1'
_symmetry_Int_Tables_number 1
loop_
_symmetry_equiv_pos_as_xyz
'x,y,z'
loop_
_atom_site_label
_atom_site_type_symbol
_atom_site_fract_x
_atom_site_fract_y
_atom_site_fract_z
P1 P 0.000 0.000 0.000
Ac1 Ac 0.500 0.000 0.000
Ac2 Ac 0.000 0.500 0.000
Ac3 Ac 0.000 0.000 0.500
Si1 Si 0.500 0.500 0.500
# Formation energy (no corrections): -309 meV/atom

No. 3
# K2TlW PBE-GGA relaxed
data_K2TlW
_chemical_formula_sum 'K2 Tl1 W1'
_cell_length_a 3.093
_cell_length_b 4.681
_cell_length_c 10.103
_cell_angle_alpha 90.00
_cell_angle_beta 90.00
_cell_angle_gamma 90.00
_symmetry_space_group_name_H-M 'P 1'
_symmetry_Int_Tables_number 1
loop_
_symmetry_equiv_pos_as_xyz
'x,y,z'
loop_
_atom_site_label
_atom_site_type_symbol
_atom_site_fract_x
_atom_site_fract_y
_atom_site_fract_z
K1 K 0.000 0.000 0.929
K2 K 0.500 0.500 0.321
Tl1 Tl 0.000 0.000 0.595
W1 W 0.500 0.500 0.655
# Polymorph energy (0 for the lowest one): 0.013 eV/atom
# Energy of formation: 0.99 eV/atom

No. 4
# La4TbPr2Sc PBE-GGA relaxed
data_La4TbPr2Sc
_chemical_formula_sum 'La4 Tb1 Pr2 Sc1'
_cell_length_a 5.200
_cell_length_b 5.167
_cell_length_c 11.449
_cell_angle_alpha 63.15
_cell_angle_beta 90.00
_cell_angle_gamma 90.00
_symmetry_space_group_name_H-M 'P 1'
_symmetry_Int_Tables_number 1
loop_
_symmetry_equiv_pos_as_xyz
'x,y,z'
loop_
_atom_site_label
_atom_site_type_symbol
_atom_site_fract_x
_atom_site_fract_y
_atom_site_fract_z
Tb1 Tb 0.500 0.500 0.000
La1 La 0.500 0.746 0.254
Pr1 Pr 0.000 0.000 0.000
La2 La 0.500 0.254 0.746
Sc1 Sc 0.000 0.500 0.500
Pr2 Pr 0.500 0.000 0.500
La3 La 0.000 0.755 0.745
La4 La 0.000 0.245 0.255
# Energy of formation: 0.03 eV/atom

No. 5
# PuMg3Al8 PBE-GGA relaxed
data_PuMg3Al8
_chemical_formula_sum 'Pu1 Mg3 Al8'
_cell_length_a 5.482
_cell_length_b 5.482
_cell_length_c 8.789
_cell_angle_alpha 90.00
_cell_angle_beta 90.00
_cell_angle_gamma 120.00
_symmetry_space_group_name_H-M 'P 1'
_symmetry_Int_Tables_number 1
loop_
_symmetry_equiv_pos_as_xyz
'x,y,z'
loop_
_atom_site_label
_atom_site_type_symbol
_atom_site_fract_x
_atom_site_fract_y
_atom_site_fract_z
Al1 Al 0.162 0.838 0.250
Mg1 Mg 0.667 0.333 0.433
Al2 Al 0.993 0.496 0.749
Mg2 Mg 0.667 0.333 0.061
Al3 Al 0.504 0.496 0.749
Al4 Al 0.333 0.667 0.007
Al5 Al 0.162 0.324 0.250
Pu1 Pu 0.000 0.000 0.563
Al6 Al 0.676 0.838 0.250
Mg3 Mg 0.000 0.000 0.937
Al7 Al 0.333 0.667 0.502
Al8 Al 0.504 0.007 0.749
# Energy of formation: -0.11 eV/atom

No. 6
# LiCd3Ga PBE-GGA relaxed
data_LiCd3Ga
_chemical_formula_sum 'Li1 Cd3 Ga1'
_cell_length_a 4.914
_cell_length_b 4.914
_cell_length_c 4.914
_cell_angle_alpha 90.00
_cell_angle_beta 90.00
_cell_angle_gamma 90.00
_symmetry_space_group_name_H-M 'P 1'
_symmetry_Int_Tables_number 1
loop_
_symmetry_equiv_pos_as_xyz
'x,y,z'
loop_
_atom_site_label
_atom_site_type_symbol
_atom_site_fract_x
_atom_site_fract_y
_atom_site_fract_z
Cd1 Cd 0.000 0.500 0.000
Ga1 Ga 0.500 0.500 0.500
Li1 Li 0.000 0.000 0.000
Cd2 Cd 0.000 0.000 0.500
Cd3 Cd 0.500 0.000 0.000
# Polymorph energy (0 for the lowest one): 0.315 eV/atom
# Energy of formation: 0.25 eV/atom

No. 7
# Ba2InHg6Ge PBE-GGA relaxed
data_Ba2InHg6Ge
_chemical_formula_sum 'Ba2 In1 Hg6 Ge1'
_cell_length_a 9.223
_cell_length_b 7.108
_cell_length_c 9.302
_cell_angle_alpha 48.88
_cell_angle_beta 59.27
_cell_angle_gamma 91.98
_symmetry_space_group_name_H-M 'P 1'
_symmetry_Int_Tables_number 1
loop_
_symmetry_equiv_pos_as_xyz
'x,y,z'
loop_
_atom_site_label
_atom_site_type_symbol
_atom_site_fract_x
_atom_site_fract_y
_atom_site_fract_z
Hg1 Hg 0.240 0.134 0.540
Hg2 Hg 0.074 0.438 0.243
Ba1 Ba 0.560 0.176 0.633
Ba2 Ba 0.440 0.824 0.367
Hg3 Hg 0.926 0.562 0.757
Ge1 Ge 0.500 0.500 0.000
Hg4 Hg 0.765 0.866 0.909
Hg5 Hg 0.760 0.866 0.460
In1 In 0.000 0.000 0.000
Hg6 Hg 0.235 0.134 0.091
# Energy of formation: -0.22 eV/atom

No. 8
# B2IrPd PBE-GGA relaxed
data_B2IrPd
_chemical_formula_sum 'B2 Ir1 Pd1'
_cell_length_a 3.688
_cell_length_b 3.688
_cell_length_c 4.619
_cell_angle_alpha 66.48
_cell_angle_beta 66.48
_cell_angle_gamma 60.00
_symmetry_space_group_name_H-M 'P 1'
_symmetry_Int_Tables_number 1
loop_
_symmetry_equiv_pos_as_xyz
'x,y,z'
loop_
_atom_site_label
_atom_site_type_symbol
_atom_site_fract_x
_atom_site_fract_y
_atom_site_fract_z
B1 B 0.181 0.181 0.458
Pd1 Pd 0.000 0.000 0.000
Ir1 Ir 0.500 0.500 0.500
B2 B 0.819 0.819 0.542
# Polymorph energy (0 for the lowest one): 0.225 eV/atom
# Energy of formation: 0.32 eV/atom

no.,E_tot (eV per atom),V (A^3/atom)
1,-3.88,30.71
2,-4.94,37.97
3,-3.39,36.57
4,-5.00,34.31
5,-4.20,19.06
6,-1.29,23.73
7,-1.52,32.38
8,-6.53,12.07